## K2SrCd2 (PBE-GGA)

Data for a relaxed K2SrCd2 crystal.

Cell: 10.0243 10.0243 3.9965 Å, 90.00 90.00 90.00°
With the nearest neighbours (Å) after each atom.
Fractional coordinates of all 10 atoms:
Sr1 0.0000 0.0000 0.0000  4 K 3.97, 2 Sr 4.00, 8 Cd 4.19
Sr2 0.5000 0.5000 0.0000  4 K 3.97, 2 Sr 4.00, 8 Cd 4.19
K1 0.3767 0.8767 0.0000  6 Cd 3.44-3.67, 1 K 3.50
K2 0.8767 0.6233 0.0000  6 Cd 3.44-3.67, 1 K 3.50
K3 0.6233 0.1233 0.0000  6 Cd 3.44-3.67, 1 K 3.50
K4 0.1233 0.3767 0.0000  6 Cd 3.44-3.67, 1 K 3.50
Cd1 0.1790 0.6790 0.5000  6 K 3.44-3.67
Cd2 0.6790 0.8210 0.5000  6 K 3.44-3.67
Cd3 0.8210 0.3210 0.5000  6 K 3.44-3.67
Cd4 0.3210 0.1790 0.5000  6 K 3.44-3.67

Values from the calculation:
**Electronic total energy**: -1.085 eV/atom
**ΔE_f**: 0.0565 eV per atom
**D(E_F)**: 10.99 states/eV per cell
**ΔE to the lowest computed polymorph**: 0.109 eV/atom

---

## K2SrCd (PBE-GGA)

Data for a relaxed K2SrCd crystal.

Cell: 13.3054 13.3054 13.3054 Å, 18.63 18.63 18.63°
With the nearest neighbours (Å) after each atom.
Fractional coordinates of all 4 atoms:
Cd1 0.7500 0.7500 0.7500  6 K 3.69
K1 0.0140 0.0140 0.0140  3 Cd 3.69
K2 0.4860 0.4860 0.4860  3 Cd 3.69
Sr1 0.2500 0.2500 0.2500  6 Sr 4.31, 6 K 4.55

Values from the calculation:
**Electronic total energy**: -1.104 eV/atom
**ΔE_f**: 0.0938 eV per atom
**D(E_F)**: 3.75 states/eV per cell

---

## K2Sr2Cd (PBE-GGA)

Data for a relaxed K2Sr2Cd crystal.

Cell: 8.8897 8.8897 7.2294 Å, 90.00 90.00 90.00°
With the nearest neighbours (Å) after each atom.
Fractional coordinates of all 10 atoms:
Sr1 0.3355 0.8355 0.0000  2 Cd 3.32
Sr2 0.8355 0.6645 0.0000  2 Cd 3.32
Sr3 0.6645 0.1645 0.0000  2 Cd 3.32
Sr4 0.1645 0.3355 0.0000  2 Cd 3.32
K1 0.1703 0.6703 0.5000  2 Sr 4.17, 5 K 4.28-4.67
K2 0.6703 0.8297 0.5000  2 Sr 4.17, 5 K 4.28-4.67
K3 0.8297 0.3297 0.5000  2 Sr 4.17, 5 K 4.28-4.67
K4 0.3297 0.1703 0.5000  2 Sr 4.17, 5 K 4.28-4.67
Cd1 0.0000 0.0000 0.0000  4 Sr 3.32
Cd2 0.5000 0.5000 0.0000  4 Sr 3.32

Values from the calculation:
**Electronic total energy**: -1.214 eV/atom
**ΔE_f**: 0.0811 eV per atom
**D(E_F)**: 11.39 states/eV per cell
**ΔE to the lowest computed polymorph**: 0.000 eV/atom

---

## KSrCd2 (PBE-GGA)

Data for a relaxed KSrCd2 crystal.

Cell: 4.0631 4.0594 9.3484 Å, 90.00 90.00 90.00°
With the nearest neighbours (Å) after each atom.
Fractional coordinates of all 4 atoms:
Cd1 0.0000 0.0000 0.0393  4 Cd 3.21, 4 Sr 3.48
Cd2 0.5000 0.5000 0.1917  4 Cd 3.21, 1 Sr 3.39
K1 0.0000 0.0000 0.4404  5 Cd 3.70-3.75, 4 K 4.06
Sr1 0.5000 0.5000 0.8286  5 Cd 3.39-3.48

Values from the calculation:
**Electronic total energy**: -1.237 eV/atom
**ΔE_f**: -0.0846 eV per atom
**D(E_F)**: 2.61 states/eV per cell
**ΔE to the lowest computed polymorph**: 0.061 eV/atom

---

## K2SrCd (PBE-GGA)

Data for a relaxed K2SrCd crystal.

Cell: 6.5463 4.3975 7.0060 Å, 77.01 90.00 90.00°
With the nearest neighbours (Å) after each atom.
Fractional coordinates of all 4 atoms:
Cd1 0.5000 0.7500 0.7500  2 Sr 3.69, 4 K 3.79
K1 0.0000 0.9295 0.9745  3 K 3.72-3.83, 2 Cd 3.79
K2 0.0000 0.5705 0.5255  3 K 3.72-3.83, 2 Cd 3.79
Sr1 0.5000 0.2500 0.2500  2 Cd 3.69

Values from the calculation:
**Electronic total energy**: -1.118 eV/atom
**ΔE_f**: 0.0803 eV per atom
**D(E_F)**: 3.19 states/eV per cell

---

## KSr2Cd (PBE-GGA)

Data for a relaxed KSr2Cd crystal.

Cell: 8.0139 8.0139 8.0139 Å, 149.32 134.36 56.00°
With the nearest neighbours (Å) after each atom.
Fractional coordinates of all 4 atoms:
Cd1 0.5078 0.5078 0.0000  6 Sr 3.38-3.77, 2 K 3.60
K1 0.3017 0.8017 0.5000  2 Cd 3.60
Sr1 0.9968 0.9968 0.0000  4 Cd 3.77, 2 K 4.16, 2 Sr 4.17
Sr2 0.6937 0.1937 0.5000  2 Cd 3.38

Values from the calculation:
**Electronic total energy**: -1.360 eV/atom
**ΔE_f**: -0.0157 eV per atom
**D(E_F)**: 4.06 states/eV per cell

---

What did the second record say?
## K2SrCd (PBE-GGA)

Data for a relaxed K2SrCd crystal.

Cell: 13.3054 13.3054 13.3054 Å, 18.63 18.63 18.63°
With the nearest neighbours (Å) after each atom.
Fractional coordinates of all 4 atoms:
Cd1 0.7500 0.7500 0.7500  6 K 3.69
K1 0.0140 0.0140 0.0140  3 Cd 3.69
K2 0.4860 0.4860 0.4860  3 Cd 3.69
Sr1 0.2500 0.2500 0.2500  6 Sr 4.31, 6 K 4.55

Values from the calculation:
**Electronic total energy**: -1.104 eV/atom
**ΔE_f**: 0.0938 eV per atom
**D(E_F)**: 3.75 states/eV per cell